# 1
DFT (PBE-GGA) results for a relaxed KLaSe2 crystal.

Computed properties:
E_form (uncorrected)	-0.78	eV per atom
uncorrected energy	-4.026	eV/atom

a b c (Å): 7.4908 7.4908 7.4908
angles (deg): 90.00 90.00 90.00
Element x y z (fractional)
1 K 0.0000 0.0000 0.0000
2 K 0.0000 0.5000 0.5000
3 K 0.5000 0.0000 0.5000
4 K 0.5000 0.5000 0.0000
5 La 0.2500 0.2500 0.7500
6 La 0.2500 0.7500 0.2500
7 La 0.7500 0.2500 0.2500
8 La 0.7500 0.7500 0.7500
9 Se 0.0000 0.0000 0.5000
10 Se 0.0000 0.5000 0.0000
11 Se 0.2500 0.2500 0.2500
12 Se 0.2500 0.7500 0.7500
13 Se 0.5000 0.0000 0.0000
14 Se 0.5000 0.5000 0.5000
15 Se 0.7500 0.2500 0.7500
16 Se 0.7500 0.7500 0.2500



# 2
DFT (PBE-GGA) results for a relaxed KLa5Se8 crystal.

Computed properties:
E_form (uncorrected)	-1.98	eV per atom
uncorrected energy	-5.809	eV/atom

a b c (Å): 7.9379 7.9379 7.9379
angles (deg): 109.24 109.24 109.92
Element x y z (fractional)
1 K 0.0000 0.0000 0.0000
2 La 0.2407 0.6240 0.1222
3 La 0.3760 0.4982 0.6167
4 La 0.5018 0.1185 0.8778
5 La 0.7500 0.2500 0.5000
6 La 0.8815 0.7593 0.3833
7 Se 0.1293 0.7164 0.7440
8 Se 0.1297 0.2358 0.7443
9 Se 0.2836 0.0276 0.4130
10 Se 0.4916 0.3854 0.2557
11 Se 0.6146 0.8703 0.1062
12 Se 0.6146 0.8707 0.5870
13 Se 0.7642 0.5084 0.8938
14 Se 0.9724 0.3854 0.2560



# 3
DFT (PBE-GGA) results for a relaxed KLaSe2 crystal.

Computed properties:
E_form (uncorrected)	-1.30	eV per atom
uncorrected energy	-4.545	eV/atom

a b c (Å): 4.3796 4.3796 11.4881
angles (deg): 90.00 90.00 90.00
Element x y z (fractional)
1 K 0.0000 0.0000 0.0000
2 K 0.5000 0.5000 0.5000
3 La 0.0000 0.5000 0.7500
4 La 0.5000 0.0000 0.2500
5 Se 0.0000 0.0000 0.5000
6 Se 0.0000 0.5000 0.2500
7 Se 0.5000 0.0000 0.7500
8 Se 0.5000 0.5000 0.0000



# 4
DFT (PBE-GGA) results for a relaxed KLa2Se2 crystal.

Computed properties:
relative energy among the computed polymorphs	0.45	eV/f.u.
E_form (uncorrected)	-1.17	eV per atom
uncorrected energy	-4.752	eV/atom

a b c (Å): 5.4046 5.4046 14.7354
angles (deg): 90.00 90.00 90.00
Element x y z (fractional)
1 K 0.0000 0.0000 0.0000
2 K 0.5000 0.5000 0.5000
3 La 0.0000 0.5000 0.2500
4 La 0.0000 0.5000 0.7500
5 La 0.5000 0.0000 0.2500
6 La 0.5000 0.0000 0.7500
7 Se 0.0000 0.0000 0.3357
8 Se 0.0000 0.0000 0.6643
9 Se 0.5000 0.5000 0.1643
10 Se 0.5000 0.5000 0.8357



Question: Among the records above, which one has the highest uncorrected energy?
Answer: number 1



Question: Which formula does entry 2 have?
Answer: KLa5Se8



What did the fourth record say?
DFT (PBE-GGA) results for a relaxed KLa2Se2 crystal.

Computed properties:
relative energy among the computed polymorphs	0.45	eV/f.u.
E_form (uncorrected)	-1.17	eV per atom
uncorrected energy	-4.752	eV/atom

a b c (Å): 5.4046 5.4046 14.7354
angles (deg): 90.00 90.00 90.00
Element x y z (fractional)
1 K 0.0000 0.0000 0.0000
2 K 0.5000 0.5000 0.5000
3 La 0.0000 0.5000 0.2500
4 La 0.0000 0.5000 0.7500
5 La 0.5000 0.0000 0.2500
6 La 0.5000 0.0000 0.7500
7 Se 0.0000 0.0000 0.3357
8 Se 0.0000 0.0000 0.6643
9 Se 0.5000 0.5000 0.1643
10 Se 0.5000 0.5000 0.8357